1.
# Sc4CrSe

A relaxed structure of Sc4CrSe (GGA-PBE, Alexandria).

The structure in POSCAR format:
```
Sc4CrSe
1.0
4.6982 -3.1531 1.3439
3.2022 1.3906 4.6511
-0.0470 -3.4324 4.6944
Sc Cr Se
4 1 1
Cartesian
5.3101 -3.5355 4.6727
2.9097 -3.6768 6.3675
4.5534 -1.2371 6.3456
2.9335 -1.9405 3.9929
0.0000 0.0000 0.0000
5.8900 -3.8962 8.0170
```

Results
The value obtained for the raw formation energy is 9.89 kcal/mol of atoms. For the calculated volume, the calculation gives 139.1 Å³/cell.

***

2.
# SiAuCl2

A relaxed structure of SiAuCl2 (GGA-PBE, Alexandria).

The structure in POSCAR format:
```
SiAuCl2
1.0
3.2026 0.0000 0.0000
0.0000 2.8619 -0.0338
0.0000 -2.2308 10.7348
Au Cl Si
1 2 1
Cartesian
1.6013 0.4733 8.0258
0.0000 0.1380 0.9850
0.0000 0.1776 4.3655
1.6013 0.1578 2.6753
```

Results
For the energy above the most stable polymorph in this dataset, the calculation gives 408.7 meV/atom. The value obtained for the raw formation energy is 0.24 kcal/mol of atoms. For the calculated volume, the calculation gives 98.1 Å³/cell.

***

3.
# AlAg2Pt

A relaxed structure of AlAg2Pt (GGA-PBE, Alexandria).

The structure in POSCAR format:
```
AlAg2Pt
1.0
-3.7198 2.0939 -2.3206
-3.9065 -0.6906 2.8051
4.3698 1.9468 0.8490
Ag Pt Al
2 1 1
Cartesian
-0.0308 0.0057 0.0020
-1.4790 2.3523 -0.6212
-1.8351 1.0084 1.9583
-3.7248 0.6854 0.2366
```

Results
For the energy above the most stable polymorph in this dataset, the calculation gives 79.0 meV/atom. Its formation energy is -274 meV per atom. For the calculated volume, the calculation gives 65.8 Å³/cell.

***

4.
# LiMn2CrRe

A relaxed structure of LiMn2CrRe (GGA-PBE, Alexandria).

The structure in POSCAR format:
```
LiMn2CrRe
1.0
-1.2123 2.8603 3.2407
-4.0464 -1.7790 0.0566
1.3408 -2.9509 3.1061
Re Mn Li Cr
1 2 1 1
Cartesian
-2.0232 -0.8895 0.0283
0.6704 -1.4754 1.5530
-0.6061 1.4302 1.6204
-1.9589 -0.9348 3.2017
0.0000 0.0000 0.0000
```

Results
Its formation energy is 1100 meV per atom. For the calculated volume, the calculation gives 89.1 Å³/cell.

***

5.
# CaScSi

A relaxed structure of CaScSi (GGA-PBE, Alexandria).

The structure in POSCAR format:
```
CaScSi
1.0
6.4053 0.0221 -0.0027
4.4320 4.6244 0.0027
-5.5699 -1.9705 2.4742
Ca Sc Si
1 1 1
Cartesian
10.5933 4.5419 0.0000
7.6955 3.2995 0.0000
3.3859 1.4517 0.0000
```

Results
The value obtained for the raw formation energy is -5.80 kcal/mol of atoms. For the calculated volume, the calculation gives 73.0 Å³/cell.

***

6.
# U3MnB7

A relaxed structure of U3MnB7 (GGA-PBE, Alexandria).

The structure in POSCAR format:
```
U3MnB7
1.0
-1.6517 -2.6762 1.0199
6.2947 0.0369 4.9324
-4.7500 5.2269 6.0229
U Mn B
6 2 14
Cartesian
-0.9025 2.0050 3.7995
0.7955 0.5826 8.1756
-0.8095 3.2652 7.2569
0.7025 -0.6775 4.7183
0.8740 0.0502 1.5470
-0.9810 2.5375 10.4282
2.8629 -1.1915 6.8683
-2.9699 3.7792 5.1069
1.4829 2.7198 9.5381
-1.5899 -0.1321 2.4371
3.2892 0.8828 7.6433
-3.3962 1.7048 4.3318
-4.8832 3.3411 6.2173
4.7762 -0.7534 5.7579
2.3694 0.8557 6.0824
-2.4764 1.7319 5.8927
0.7686 1.7322 5.7900
-0.8756 0.8555 6.1852
-2.9415 3.1287 8.8046
2.8345 -0.5411 3.1706
3.2859 -0.1528 4.9203
-3.3929 2.7405 7.0549
```

Results
Its formation energy is -396 meV per atom. For the calculated volume, the calculation gives 240.1 Å³/cell.